# 1
Tl6ZnSb2 | PBE | optimized geometry

```
data_Tl6ZnSb2
_cell_length_a 5.4479
_cell_length_b 5.4479
_cell_length_c 32.4631
_cell_angle_alpha 90.00
_cell_angle_beta 90.00
_cell_angle_gamma 120.00
_space_group_name_H-M_alt 'R -3 m'
_space_group_IT_number 166
_space_group_name_Hall '-R 3 2"'
loop_
_atom_site_label
_atom_site_fract_x
_atom_site_fract_y
_atom_site_fract_z
Tl1 0.0000 0.0000 0.0568
Tl2 0.0000 0.0000 0.1972
Tl3 0.0000 0.0000 0.3119
Zn1 0.0000 0.0000 0.5000
Sb1 0.0000 0.0000 0.4198
```

Computed properties:
For the total magnetic moment, the calculation gives 0.000 μB per atom. As for the raw formation energy: 38 meV/atom.

***

# 2
PmZrPd4 | PBE | optimized geometry

```
data_PmZrPd4
_cell_length_a 7.661
_cell_length_b 7.661
_cell_length_c 7.661
_cell_angle_alpha 90.00
_cell_angle_beta 90.00
_cell_angle_gamma 90.00
_space_group_name_H-M_alt 'F -4 3 m'
_space_group_IT_number 216
_space_group_name_Hall 'F -4 2 3'
loop_
_atom_site_label
_atom_site_fract_x
_atom_site_fract_y
_atom_site_fract_z
Pm1 0.000 0.000 0.000
Zr1 0.250 0.250 0.250
Pd1 0.125 0.125 0.625
```

Computed properties:
For the total magnetic moment, the calculation gives 0.000 μB per atom. As for the energy relative to the elements: -3.431 eV/f.u.

***

# 3
NdYLuAl | PBE | optimized geometry

```
data_NdYLuAl
_cell_length_a 7.606
_cell_length_b 7.606
_cell_length_c 7.606
_cell_angle_alpha 90.00
_cell_angle_beta 90.00
_cell_angle_gamma 90.00
_space_group_name_H-M_alt 'F -4 3 m'
_space_group_IT_number 216
_space_group_name_Hall 'F -4 2 3'
loop_
_atom_site_label
_atom_site_fract_x
_atom_site_fract_y
_atom_site_fract_z
Nd1 0.000 0.000 0.000
Y1 0.000 0.000 0.500
Lu1 0.250 0.250 0.750
Al1 0.250 0.250 0.250
```

Computed properties:
For the total magnetic moment, the calculation gives 0.001 μB per atom. As for the energy relative to the elements: -0.329 eV/f.u.

***

# 4
TeAsBr | PBE | optimized geometry

```
data_TeAsBr
_cell_length_a 4.009
_cell_length_b 4.009
_cell_length_c 13.535
_cell_angle_alpha 90.00
_cell_angle_beta 90.00
_cell_angle_gamma 90.00
_space_group_name_H-M_alt 'I 4 m m'
_space_group_IT_number 107
_space_group_name_Hall 'I 4 -2'
loop_
_atom_site_label
_atom_site_fract_x
_atom_site_fract_y
_atom_site_fract_z
Te1 0.000 0.000 0.000
As1 0.000 0.000 0.547
Br1 0.000 0.000 0.722
```

Computed properties:
For the total magnetic moment, the calculation gives 0.000 μB per atom. As for the raw formation energy: -106 meV/atom.

***

# 5
InAg8Te6 | PBE | optimized geometry

```
data_InAg8Te6
_cell_length_a 8.607
_cell_length_b 8.500
_cell_length_c 11.619
_cell_angle_alpha 90.00
_cell_angle_beta 90.00
_cell_angle_gamma 90.00
_space_group_name_H-M_alt 'P m n 21'
_space_group_IT_number 31
loop_
_space_group_symop_operation_xyz
'x,y,z'
'-x+1/2,-y,z+1/2'
'-x,y,z'
'x+1/2,-y,z+1/2'
loop_
_atom_site_label
_atom_site_fract_x
_atom_site_fract_y
_atom_site_fract_z
In1 0.000 0.232 0.000
Ag1 0.000 0.749 0.977
Ag2 0.000 0.888 0.513
Ag3 0.176 0.009 0.722
Ag4 0.224 0.399 0.359
Ag5 0.230 0.337 0.626
Te1 0.000 0.219 0.488
Te2 0.000 0.482 0.158
Te3 0.000 0.725 0.739
Te4 0.000 0.979 0.146
Te5 0.233 0.738 0.373
```

Computed properties:
For the total magnetic moment, the calculation gives 0.000 μB per atom. As for the raw formation energy: -53 meV/atom.

***

# 6
HfUPa14 | PBE | optimized geometry

```
data_HfUPa14
_cell_length_a 6.470
_cell_length_b 6.470
_cell_length_c 9.478
_cell_angle_alpha 90.00
_cell_angle_beta 90.00
_cell_angle_gamma 90.00
_space_group_name_H-M_alt 'P 4/m m m'
_space_group_IT_number 123
_space_group_name_Hall '-P 4 2'
loop_
_atom_site_label
_atom_site_fract_x
_atom_site_fract_y
_atom_site_fract_z
Hf1 0.000 0.000 0.000
U1 0.500 0.500 0.000
Pa1 0.000 0.000 0.500
Pa2 0.000 0.500 0.000
Pa3 0.000 0.500 0.500
Pa4 0.248 0.248 0.247
Pa5 0.500 0.500 0.500
```

Computed properties:
For the total magnetic moment, the calculation gives 0.087 μB per atom. As for the energy relative to the elements: 0.731 eV/f.u.